SmMg8Ag4 (PBE, relaxed); total moment = 0.0 μB per formula unit; space-group type = I4/mmm, No. 139; formation energy = -191 meV per atom; DFT total energy = -2.41 eV/atom
1.0
-4.931 4.931 2.831
4.931 -4.931 2.831
4.931 4.931 -2.831
Sm Mg Ag
1 8 4
direct
0.000 0.000 0.000 Sm
0.000 0.343 0.343 Mg
0.000 0.657 0.657 Mg
0.286 0.500 0.786 Mg
0.343 0.000 0.343 Mg
0.500 0.286 0.786 Mg
0.500 0.714 0.214 Mg
0.657 0.000 0.657 Mg
0.714 0.500 0.214 Mg
0.000 0.000 0.500 Ag
0.000 0.500 0.000 Ag
0.500 0.000 0.000 Ag
0.500 0.500 0.500 Ag